The following is a PBE calculation of an optimized crystal structure of Co5As, from the Alexandria database.

abc: 4.596 4.596 4.218
angles: 90.00 90.00 120.00
Last column: magnetic moment on the atom in μB.
Atoms (fractional coordinates):
Co 0.333 0.667 0.000  1.48
Co 0.500 0.500 0.500  1.74
As 0.000 0.000 0.000  0.01
Co 0.500 0.000 0.500  1.74
Co 0.667 0.333 0.000  1.48
Co 0.000 0.500 0.500  1.74

Calculated values
- Space group: P6/mmm
- Final energy: -6.33 eV per atom
- N(E_F): 8.7 states/eV/f.u.